! TcB2W, relaxed, DFT PBE; values from VASP
! Calculated volume (Å³/atom): 11.07
! Energy of formation (kcal/mol of atoms): -2.8
! Polymorph energy (0 for the lowest one) (kcal/mol of atoms): 1.27
&SYSTEM
  ibrav = 0, nat = 4, ntyp = 3
/
ATOMIC_SPECIES
Tc 98.00 Tc.upf
B 10.81 B.upf
W 183.84 W.upf
CELL_PARAMETERS angstrom
3.0613 0.0000 0.0000
1.5307 2.6512 0.0000
1.5307 0.8837 5.4540
ATOMIC_POSITIONS angstrom
Tc 4.5920 2.6512 5.3681
B 1.5307 0.8837 4.1206
B 1.5307 0.8837 1.3091
W 3.0613 1.7675 2.8371

=====

! La2AlAg3Sn4, relaxed, DFT PBE; values from VASP
! Calculated volume (Å³/atom): 24.99
! Energy of formation (kcal/mol of atoms): -9.1
&SYSTEM
  ibrav = 0, nat = 10, ntyp = 4
/
ATOMIC_SPECIES
La 138.91 La.upf
Al 26.98 Al.upf
Ag 107.87 Ag.upf
Sn 118.71 Sn.upf
CELL_PARAMETERS angstrom
4.6113 0.0000 0.0000
0.0000 4.6113 0.0000
0.0000 0.0000 11.7529
ATOMIC_POSITIONS angstrom
La 2.3057 0.0000 2.9849
La 0.0000 2.3057 8.7680
Al 2.3057 2.3057 5.8765
Ag 0.0000 0.0000 5.8765
Ag 2.3057 0.0000 10.1206
Ag 0.0000 2.3057 1.6323
Sn 2.3057 2.3057 0.0000
Sn 0.0000 0.0000 0.0000
Sn 2.3057 0.0000 7.4682
Sn 0.0000 2.3057 4.2847

=====

! Nd3Ni2Ru, relaxed, DFT PBE; values from VASP
! Calculated volume (Å³/atom): 23.03
! Energy of formation (kcal/mol of atoms): -5.1
&SYSTEM
  ibrav = 0, nat = 24, ntyp = 3
/
ATOMIC_SPECIES
Nd 144.24 Nd.upf
Ni 58.69 Ni.upf
Ru 101.07 Ru.upf
CELL_PARAMETERS angstrom
-1.2242 3.6855 -1.5422
-9.0773 -5.1710 -5.1518
-6.2896 1.7944 9.2811
ATOMIC_POSITIONS angstrom
Nd -4.0723 -0.9378 -1.8388
Nd -12.5189 1.2467 4.4259
Nd -11.6981 -0.9744 -1.5336
Nd -4.8931 1.2833 4.1207
Nd -8.0451 -2.3697 -2.1071
Nd -8.5461 2.6786 4.6942
Nd -4.6491 2.2099 0.4806
Nd -11.9421 -1.9010 2.1066
Nd -6.7292 -0.7004 0.8378
Nd -9.8619 1.0092 1.7494
Nd -10.2589 -1.9056 -4.9013
Nd -6.3322 2.2145 7.4884
Ni -9.5490 -1.7976 0.4541
Ni -7.0422 2.1064 2.1330
Ni -2.8104 1.8284 -1.8906
Ni -13.7808 -1.5196 4.4777
Ni -2.3209 1.4444 2.4638
Ni -14.2703 -1.1355 0.1233
Ni -6.7079 0.4838 -2.0101
Ni -9.8832 -0.1749 4.5972
Ru -2.3743 0.4678 0.1723
Ru -14.2169 -0.1589 2.4149
Ru -8.9748 0.1386 -1.0354
Ru -7.6163 0.1703 3.6225

=====

! KSnPdRh2, relaxed, DFT PBE; values from VASP
! Calculated volume (Å³/atom): 28.26
! Energy of formation (kcal/mol of atoms): 24.0
&SYSTEM
  ibrav = 0, nat = 5, ntyp = 4
/
ATOMIC_SPECIES
K 39.10 K.upf
Rh 102.91 Rh.upf
Sn 118.71 Sn.upf
Pd 106.42 Pd.upf
CELL_PARAMETERS angstrom
4.9032 0.0000 0.0000
0.0000 5.8770 0.0000
0.0000 0.0000 4.9032
ATOMIC_POSITIONS angstrom
K 0.0000 2.9385 0.0000
Rh 0.0000 0.0000 2.4516
Rh 2.4516 0.0000 0.0000
Sn 0.0000 0.0000 0.0000
Pd 2.4516 2.9385 2.4516

=====

Copy entry 1 word for word.
! TcB2W, relaxed, DFT PBE; values from VASP
! Calculated volume (Å³/atom): 11.07
! Energy of formation (kcal/mol of atoms): -2.8
! Polymorph energy (0 for the lowest one) (kcal/mol of atoms): 1.27
&SYSTEM
  ibrav = 0, nat = 4, ntyp = 3
/
ATOMIC_SPECIES
Tc 98.00 Tc.upf
B 10.81 B.upf
W 183.84 W.upf
CELL_PARAMETERS angstrom
3.0613 0.0000 0.0000
1.5307 2.6512 0.0000
1.5307 0.8837 5.4540
ATOMIC_POSITIONS angstrom
Tc 4.5920 2.6512 5.3681
B 1.5307 0.8837 4.1206
B 1.5307 0.8837 1.3091
W 3.0613 1.7675 2.8371